Record 1
Entry from Alexandria: a crystal of LiScPb2 relaxed with PBEsol (meta-GGA SCAN).

Cell lengths 4.2296, 4.2296, 5.9480 Å; angles 110.83, 110.83, 90.00 degrees
Atoms (fractional coordinates):
Pb  0.0000  0.0000  0.0000
Pb  0.7500  0.2500  0.5000
Sc  0.5000  0.5000  0.0000
Li  0.2500  0.7500  0.5000

Summary:
SG: I-4m2, No. 119
ΔE_f in kJ/mol of atoms: -40.5
Energy above the most stable polymorph in this dataset in meV per atom: 66
DOS at the Fermi energy in states/eV per atom: 0.80

***

Record 2
Entry from Alexandria: a crystal of Li2ScPb relaxed with PBEsol (meta-GGA SCAN).

Cell lengths 4.8341, 4.8341, 4.8341 Å; angles 60.00, 60.00, 60.00 degrees
Atoms (fractional coordinates):
Pb  0.5000  0.5000  0.5000
Sc  0.2500  0.2500  0.2500
Li  0.0000  0.0000  0.0000
Li  0.7500  0.7500  0.7500

Summary:
SG: F-43m, No. 216
ΔE_f in kJ/mol of atoms: -39.5
DOS at the Fermi energy in states/eV per atom: 0.58

***

Record 3
Entry from Alexandria: a crystal of LiScPb2 relaxed with PBEsol (meta-GGA SCAN).

Cell lengths 3.2888, 4.1974, 6.6367 Å; angles 90.00, 90.00, 90.00 degrees
Atoms (fractional coordinates):
Pb  0.0000  0.0000  0.7448
Pb  0.0000  0.0000  0.2552
Sc  0.5000  0.5000  0.0000
Li  0.5000  0.5000  0.5000

Summary:
SG: Pmmm, No. 47
ΔE_f in kJ/mol of atoms: -45.7
Energy above the most stable polymorph in this dataset in meV per atom: 12
DOS at the Fermi energy in states/eV per atom: 0.45

***

Record 4
Entry from Alexandria: a crystal of LiScPb2 relaxed with PBEsol (meta-GGA SCAN).

Cell lengths 4.6476, 4.6476, 5.3839 Å; angles 115.57, 115.57, 90.00 degrees
Atoms (fractional coordinates):
Pb  0.7500  0.2500  0.5000
Pb  0.2500  0.7500  0.5000
Sc  0.0000  0.0000  0.0000
Li  0.5000  0.5000  0.0000

Summary:
SG: I4/mmm, No. 139
ΔE_f in kJ/mol of atoms: -43.7
Energy above the most stable polymorph in this dataset in meV per atom: 32
DOS at the Fermi energy in states/eV per atom: 0.28

***

Record 5
Entry from Alexandria: a crystal of LiScPb2 relaxed with PBEsol (meta-GGA SCAN).

Cell lengths 3.2778, 3.2778, 8.7286 Å; angles 90.00, 90.00, 90.00 degrees
Atoms (fractional coordinates):
Pb  0.0000  0.0000  0.7474
Pb  0.0000  0.0000  0.2526
Sc  0.5000  0.5000  0.0000
Li  0.5000  0.5000  0.5000

Summary:
SG: P4/mmm, No. 123
ΔE_f in kJ/mol of atoms: -42.9
Energy above the most stable polymorph in this dataset in meV per atom: 40
DOS at the Fermi energy in states/eV per atom: 0.51

***

Record 6
Entry from Alexandria: a crystal of LiScPb3 relaxed with PBEsol (meta-GGA SCAN).

Cell lengths 5.5540, 5.5540, 5.5540 Å; angles 90.00, 90.00, 90.00 degrees
Atoms (fractional coordinates):
Pb  0.0000  0.5000  0.0000
Pb  0.0000  0.0000  0.5000
Pb  0.5000  0.0000  0.0000
Sc  0.0000  0.0000  0.0000
Li  0.5000  0.5000  0.5000

Summary:
SG: Pm-3m, No. 221
ΔE_f in kJ/mol of atoms: 6.2
DOS at the Fermi energy in states/eV per atom: 0.84

***

Record 7
Entry from Alexandria: a crystal of LiScPb2 relaxed with PBEsol (meta-GGA SCAN).

Cell lengths 3.3729, 5.2443, 5.2443 Å; angles 96.40, 90.00, 90.00 degrees
Atoms (fractional coordinates):
Pb  0.0000  0.5000  0.0000
Pb  0.0000  0.0000  0.5000
Sc  0.5000  0.0000  0.0000
Li  0.5000  0.5000  0.5000

Summary:
SG: Cmmm, No. 65
ΔE_f in kJ/mol of atoms: -46.8
Energy above the most stable polymorph in this dataset in meV per atom: 0
DOS at the Fermi energy in states/eV per atom: 0.45

***

Record 8
Entry from Alexandria: a crystal of LiScPb2 relaxed with PBEsol (meta-GGA SCAN).

Cell lengths 5.0851, 5.0851, 5.0851 Å; angles 60.00, 60.00, 60.00 degrees
Atoms (fractional coordinates):
Pb  0.2500  0.2500  0.2500
Pb  0.7500  0.7500  0.7500
Sc  0.5000  0.5000  0.5000
Li  0.0000  0.0000  0.0000

Summary:
SG: Fm-3m, No. 225
ΔE_f in kJ/mol of atoms: -40.8
Energy above the most stable polymorph in this dataset in meV per atom: 63
DOS at the Fermi energy in states/eV per atom: 0.46

***

Record 9
Entry from Alexandria: a crystal of Li2ScPb2 relaxed with PBEsol (meta-GGA SCAN).

Cell lengths 4.0915, 4.0915, 7.1209 Å; angles 106.70, 106.70, 90.00 degrees
Atoms (fractional coordinates):
Li  0.2500  0.7500  0.5000
Li  0.7500  0.2500  0.5000
Pb  0.6098  0.6098  0.2196
Pb  0.3902  0.3902  0.7804
Sc  0.0000  0.0000  0.0000

Summary:
SG: I4/mmm, No. 139
ΔE_f in kJ/mol of atoms: -39.1
DOS at the Fermi energy in states/eV per atom: 0.33

***

Record 10
Entry from Alexandria: a crystal of LiScPb2 relaxed with PBEsol (meta-GGA SCAN).

Cell lengths 3.9566, 3.9566, 6.0733 Å; angles 90.00, 90.00, 90.00 degrees
Atoms (fractional coordinates):
Li  0.5000  0.5000  0.7676
Pb  0.0000  0.0000  0.9728
Pb  0.5000  0.5000  0.2797
Sc  0.0000  0.0000  0.4799

Summary:
SG: P4mm, No. 99
ΔE_f in kJ/mol of atoms: -27.3
Energy above the most stable polymorph in this dataset in meV per atom: 203
DOS at the Fermi energy in states/eV per atom: 0.85

***

Record 11
Entry from Alexandria: a crystal of LiScPb2 relaxed with PBEsol (meta-GGA SCAN).

Cell lengths 3.3788, 5.0791, 5.9341 Å; angles 105.62, 106.54, 90.00 degrees
Atoms (fractional coordinates):
Pb  0.0032  0.9158  0.0065
Pb  0.7518  0.3449  0.5036
Sc  0.4911  0.4087  0.9822
Li  0.2539  0.8307  0.5077

Summary:
SG: Cm, No. 8
ΔE_f in kJ/mol of atoms: -42.3
Energy above the most stable polymorph in this dataset in meV per atom: 47
DOS at the Fermi energy in states/eV per atom: 0.52

***

Record 12
Entry from Alexandria: a crystal of LiScPb2 relaxed with PBEsol (meta-GGA SCAN).

Cell lengths 3.5476, 4.7725, 6.2444 Å; angles 112.47, 106.50, 90.00 degrees
Atoms (fractional coordinates):
Pb  0.9938  0.9938  0.9876
Pb  0.7501  0.2501  0.5002
Sc  0.5011  0.5011  0.0023
Li  0.2550  0.7550  0.5100

Summary:
SG: Imm2, No. 44
ΔE_f in kJ/mol of atoms: -37.8
Energy above the most stable polymorph in this dataset in meV per atom: 94
DOS at the Fermi energy in states/eV per atom: 0.61

***

Record 13
Entry from Alexandria: a crystal of LiPbSe3 relaxed with PBEsol (meta-GGA SCAN).

Cell lengths 5.4249, 5.4249, 5.4249 Å; angles 90.00, 90.00, 90.00 degrees
Atoms (fractional coordinates):
Pb  0.0000  0.0000  0.0000
Se  0.0000  0.5000  0.0000
Se  0.0000  0.0000  0.5000
Se  0.5000  0.0000  0.0000
Li  0.5000  0.5000  0.5000

Summary:
E_form (uncorrected) in eV/atom: 0.131
SG: Pm-3m, No. 221
DOS at the Fermi energy in states/eV per atom: 0.95

***

Record 14
Entry from Alexandria: a crystal of LiSi2Pb relaxed with PBEsol (meta-GGA SCAN).

Cell lengths 3.6306, 4.2963, 5.7552 Å; angles 103.80, 90.00, 114.99 degrees
Atoms (fractional coordinates):
Li  0.5196  0.0391  0.5711
Pb  0.7466  0.4933  0.2360
Si  0.9701  0.9403  0.9052
Si  0.2637  0.5273  0.7877

Summary:
E_form (uncorrected) in eV/atom: 0.231
SG: Cm, No. 8
DOS at the Fermi energy in states/eV per atom: 0.36

***

Record 15
Entry from Alexandria: a crystal of LiSi2Pb relaxed with PBEsol (meta-GGA SCAN).

Cell lengths 2.9758, 4.0728, 6.4195 Å; angles 90.00, 90.00, 90.00 degrees
Atoms (fractional coordinates):
Li  0.5000  0.5000  0.0000
Pb  0.5000  0.5000  0.5000
Si  0.0000  0.0000  0.8142
Si  0.0000  0.0000  0.1858

Summary:
E_form (uncorrected) in eV/atom: 0.340
SG: Pmmm, No. 47
DOS at the Fermi energy in states/eV per atom: 0.43

***

Record 16
Entry from Alexandria: a crystal of LiSiPb3 relaxed with PBEsol (meta-GGA SCAN).

Cell lengths 5.0401, 5.0401, 5.0401 Å; angles 90.00, 90.00, 90.00 degrees
Atoms (fractional coordinates):
Pb  0.0000  0.5000  0.0000
Pb  0.0000  0.0000  0.5000
Pb  0.5000  0.0000  0.0000
Si  0.5000  0.5000  0.5000
Li  0.0000  0.0000  0.0000

Summary:
E_form (uncorrected) in eV/atom: 0.495
SG: Pm-3m, No. 221
DOS at the Fermi energy in states/eV per atom: 0.44

***

Record 17
Entry from Alexandria: a crystal of Li3SiPb relaxed with PBEsol (meta-GGA SCAN).

Cell lengths 4.7155, 4.7155, 4.7155 Å; angles 90.00, 90.00, 90.00 degrees
Atoms (fractional coordinates):
Pb  0.5000  0.5000  0.5000
Si  0.0000  0.0000  0.0000
Li  0.0000  0.5000  0.0000
Li  0.0000  0.0000  0.5000
Li  0.5000  0.0000  0.0000

Summary:
E_form (uncorrected) in eV/atom: 0.092
SG: Pm-3m, No. 221
DOS at the Fermi energy in states/eV per atom: 0.38

***

Record 18
Entry from Alexandria: a crystal of Li3SnPb relaxed with PBEsol (meta-GGA SCAN).

Cell lengths 5.0041, 5.0041, 5.0041 Å; angles 90.00, 90.00, 90.00 degrees
Atoms (fractional coordinates):
Pb  0.5000  0.5000  0.5000
Sn  0.0000  0.0000  0.0000
Li  0.0000  0.5000  0.0000
Li  0.0000  0.0000  0.5000
Li  0.5000  0.0000  0.0000

Summary:
SG: Pm-3m, No. 221
ΔE_f in kJ/mol of atoms: 4.1
DOS at the Fermi energy in states/eV per atom: 0.41

***

Record 19
Entry from Alexandria: a crystal of LiZn2SnPb relaxed with PBEsol (meta-GGA SCAN).

Cell lengths 4.9886, 5.0751, 5.0751 Å; angles 90.00, 90.00, 90.00 degrees
Atoms (fractional coordinates):
Pb  0.5000  0.5000  0.5000
Zn  0.0000  0.0000  0.5000
Zn  0.0000  0.5000  0.0000
Sn  0.0000  0.0000  0.0000
Li  0.5000  0.0000  0.0000

Summary:
SG: P4/mmm, No. 123
ΔE_f in kJ/mol of atoms: 34.9
DOS at the Fermi energy in states/eV per atom: 0.55

***

Record 20
Entry from Alexandria: a crystal of Sr2LiPb relaxed with PBEsol (meta-GGA SCAN).

Cell lengths 5.0709, 5.0709, 6.1689 Å; angles 114.27, 114.27, 90.00 degrees
Atoms (fractional coordinates):
Li  0.5000  0.5000  0.0000
Pb  0.2500  0.7500  0.5000
Sr  0.0000  0.0000  0.0000
Sr  0.7500  0.2500  0.5000

Summary:
SG: I-4m2, No. 119
ΔE_f in kJ/mol of atoms: -31.3
DOS at the Fermi energy in states/eV per atom: 0.67

***

Values of raw total energy, in order: -42.47, -24.11, -42.52, -42.50, -42.49, -48.73, -42.53, -42.47, -34.52, -42.33, -42.49, -42.44, -27.55, -24.32, -24.21, -47.46, -18.50, -23.73, -27.86, -31.00, all in eV/atom.